DFT (GGA+U) results for a relaxed structure of BaMoF6.

Unit cell a=5.3743 b=5.3743 c=15.9942 alpha=90.00 beta=90.00 gamma=120.00
With the nearest neighbours (Å) after each atom.
Space group R-3m (No. 166, hexagonal axes)
Asymmetric unit:
Ba  0.0000  0.0000  0.0000 (multiplicity 3)  12 F 3.03
Mo  0.0000  0.0000  0.5000 (multiplicity 3)  6 F 1.99
F  0.0021  0.5011  0.0877 (multiplicity 18)  1 Mo 1.99

Calculated values
Final energy (eV/atom): -5.522
D(E_F) (states/eV per cell): 0.00